1.
Density functional theory data (GGA-PBE) for YS3N after structural relaxation.

abc: 5.3454 5.3454 5.3454
angles: 90.00 90.00 90.00
Fractional positions:
Y (0.0000, 0.0000, 0.0000)
S (0.0000, 0.5000, 0.0000)
S (0.0000, 0.0000, 0.5000)
S (0.5000, 0.0000, 0.0000)
N (0.5000, 0.5000, 0.5000)

Values from the calculation:
For the energy relative to the lowest polymorph listed for this composition, the calculation gives 858 meV/atom. Its formation energy without anion corrections is 75 kJ per mole of atoms. As for the total magnetization: 6.0 μB per formula unit. For the density of states at the Fermi level, the calculation gives 0.33 states/eV per atom. Its space group is No. 221.

2.
Density functional theory data (GGA-PBE) for Li2FeSe after structural relaxation.

abc: 3.3244 3.3242 5.5641
angles: 90.00 90.00 90.00
Fractional positions:
Fe (0.5000, 0.5000, 0.7305)
Li (0.0000, 0.0000, 0.9859)
Li (0.5000, 0.5000, 0.2592)
Se (0.0000, 0.0000, 0.5244)

Values from the calculation:
Its formation energy without anion corrections is -16 kJ per mole of atoms. As for the total magnetization: 2.8 μB per formula unit. For the density of states at the Fermi level, the calculation gives 0.61 states/eV per atom. Its space group is No. 99.

3.
Density functional theory data (GGA-PBE) for Tc2Hg2O after structural relaxation.

abc: 5.5982 5.5982 5.1798
angles: 90.00 90.00 90.00
Fractional positions:
Hg (0.1807, 0.6807, 0.5000)
Hg (0.6807, 0.8193, 0.5000)
Hg (0.8193, 0.3193, 0.5000)
Hg (0.3193, 0.1807, 0.5000)
O (0.0000, 0.0000, 0.0000)
O (0.5000, 0.5000, 0.0000)
Tc (0.3382, 0.8382, 0.0000)
Tc (0.8382, 0.6618, 0.0000)
Tc (0.6618, 0.1618, 0.0000)
Tc (0.1618, 0.3382, 0.0000)

Values from the calculation:
For the energy relative to the lowest polymorph listed for this composition, the calculation gives 0 meV/atom. Its formation energy without anion corrections is 18 kJ per mole of atoms. As for the total magnetization: 0.0 μB per formula unit. For the density of states at the Fermi level, the calculation gives 0.88 states/eV per atom. Its space group is No. 127.

4.
Density functional theory data (GGA-PBE) for NaPt2O6 after structural relaxation.

abc: 5.2919 5.2919 5.0958
angles: 90.00 90.00 120.00
Fractional positions:
Na (0.0000, 0.0000, 0.0000)
Pt (0.3333, 0.6667, 0.5000)
Pt (0.6667, 0.3333, 0.5000)
O (0.6297, 0.0000, 0.2891)
O (0.3703, 0.3703, 0.2891)
O (0.0000, 0.6297, 0.2891)
O (0.6297, 0.6297, 0.7109)
O (0.0000, 0.3703, 0.7109)
O (0.3703, 0.0000, 0.7109)

Values from the calculation:
Its formation energy without anion corrections is -52 kJ per mole of atoms. As for the total magnetization: 2.8 μB per formula unit. For the density of states at the Fermi level, the calculation gives 0.51 states/eV per atom. Its space group is No. 162.

5.
Density functional theory data (GGA-PBE) for PaIr3O8 after structural relaxation.

abc: 6.3918 6.3918 6.4093
angles: 60.09 60.09 60.00
Fractional positions:
Pa (0.5000, 0.5000, 0.5000)
Ir (0.0000, 0.5000, 0.0000)
Ir (0.5000, 0.0000, 0.0000)
Ir (0.5000, 0.5000, 0.0000)
O (0.7248, 0.7248, 0.8256)
O (0.2752, 0.2752, 0.1744)
O (0.7419, 0.7419, 0.2063)
O (0.7419, 0.3099, 0.2063)
O (0.3099, 0.7419, 0.2063)
O (0.6901, 0.2581, 0.7937)
O (0.2581, 0.6901, 0.7937)
O (0.2581, 0.2581, 0.7937)

Values from the calculation:
Its formation energy without anion corrections is -130 kJ per mole of atoms. As for the total magnetization: 0.0 μB per formula unit. For the density of states at the Fermi level, the calculation gives 0.54 states/eV per atom. Its space group is No. 166.

6.
Density functional theory data (GGA-PBE) for HgS2I2 after structural relaxation.

abc: 4.2676 4.2671 22.3420
angles: 97.33 97.41 89.97
Fractional positions:
Hg (0.4946, 0.5055, 0.9998)
Hg (0.7554, 0.2445, 0.5002)
S (0.9264, 0.8601, 0.7241)
S (0.1101, 0.6765, 0.2242)
S (0.3236, 0.8899, 0.7759)
S (0.1399, 0.0735, 0.2758)
I (0.9345, 0.4551, 0.9141)
I (0.7045, 0.6851, 0.4145)
I (0.3155, 0.2949, 0.5859)
I (0.5455, 0.0649, 0.0855)

Values from the calculation:
For the energy relative to the lowest polymorph listed for this composition, the calculation gives 0 meV/atom. Its formation energy without anion corrections is 2 kJ per mole of atoms. As for the total magnetization: 0.9 μB per formula unit. For the density of states at the Fermi level, the calculation gives 0.41 states/eV per atom. Its space group is No. 2.

7.
Density functional theory data (GGA-PBE) for HoPuTh2Sb4 after structural relaxation.

abc: 4.4746 7.7337 7.6885
angles: 109.65 90.00 90.00
Fractional positions:
Ho (0.5000, 0.5000, 0.0000)
Pu (0.0000, 0.0000, 0.0000)
Th (0.5000, 0.0000, 0.5000)
Th (0.0000, 0.5000, 0.5000)
Sb (0.5000, 0.2495, 0.2430)
Sb (0.5000, 0.7505, 0.7570)
Sb (0.0000, 0.2548, 0.7581)
Sb (0.0000, 0.7452, 0.2419)

Values from the calculation:
Its formation energy without anion corrections is -88 kJ per mole of atoms. As for the total magnetization: 5.8 μB per formula unit. For the density of states at the Fermi level, the calculation gives 1.86 states/eV per atom. Its space group is No. 10.

8.
Density functional theory data (GGA-PBE) for TbAg3 after structural relaxation.

abc: 6.3022 6.3022 4.9082
angles: 90.00 90.00 120.00
Fractional positions:
Tb (0.3333, 0.6667, 0.7500)
Tb (0.6667, 0.3333, 0.2500)
Ag (0.1573, 0.3146, 0.2500)
Ag (0.6854, 0.8427, 0.2500)
Ag (0.1573, 0.8427, 0.2500)
Ag (0.8427, 0.6854, 0.7500)
Ag (0.3146, 0.1573, 0.7500)
Ag (0.8427, 0.1573, 0.7500)

Values from the calculation:
For the energy relative to the lowest polymorph listed for this composition, the calculation gives 6 meV/atom. Its formation energy is -0.200 eV/atom. As for the total magnetization: 0.0 μB per formula unit. For the density of states at the Fermi level, the calculation gives 0.67 states/eV per atom. Its space group is No. 194.

9.
Density functional theory data (GGA-PBE) for ScTlPdRh2 after structural relaxation.

abc: 4.6991 4.7936 4.6991
angles: 90.00 90.00 90.00
Fractional positions:
Sc (0.0000, 0.0000, 0.0000)
Tl (0.5000, 0.5000, 0.5000)
Rh (0.0000, 0.0000, 0.5000)
Rh (0.5000, 0.0000, 0.0000)
Pd (0.0000, 0.5000, 0.0000)

Values from the calculation:
Its formation energy is 0.434 eV/atom. As for the total magnetization: 0.0 μB per formula unit. For the density of states at the Fermi level, the calculation gives 0.07 states/eV per atom. Its space group is No. 123.

10.
Density functional theory data (GGA-PBE) for Tl2CuPd after structural relaxation.

abc: 3.2514 3.2514 9.8131
angles: 80.46 80.46 60.00
Fractional positions:
Tl (0.0905, 0.0905, 0.7285)
Tl (0.9095, 0.9095, 0.2715)
Cu (0.0000, 0.0000, 0.0000)
Pd (0.5000, 0.5000, 0.5000)

Values from the calculation:
Its formation energy is 0.268 eV/atom. As for the total magnetization: 0.0 μB per formula unit. For the density of states at the Fermi level, the calculation gives 0.59 states/eV per atom. Its space group is No. 166.

11.
Density functional theory data (GGA-PBE) for SrSiTe2 after structural relaxation.

abc: 9.0755 9.0755 9.0755
angles: 31.92 31.92 31.92
Fractional positions:
Sr (0.5000, 0.5000, 0.5000)
Si (0.0000, 0.0000, 0.0000)
Te (0.8984, 0.8984, 0.8984)
Te (0.1016, 0.1016, 0.1016)

Values from the calculation:
Its formation energy without anion corrections is -17 kJ per mole of atoms. As for the total magnetization: 0.0 μB per formula unit. For the density of states at the Fermi level, the calculation gives 0.38 states/eV per atom. Its space group is No. 166.

12.
Density functional theory data (GGA-PBE) for CeTmPuTc after structural relaxation.

abc: 5.0380 5.0380 5.0380
angles: 60.00 60.00 60.00
Fractional positions:
Tm (0.7500, 0.7500, 0.7500)
Tc (0.5000, 0.5000, 0.5000)
Ce (0.2500, 0.2500, 0.2500)
Pu (0.0000, 0.0000, 0.0000)

Values from the calculation:
Its formation energy is 0.154 eV/atom. As for the total magnetization: 6.8 μB per formula unit. For the density of states at the Fermi level, the calculation gives 2.19 states/eV per atom. Its space group is No. 216.

13.
Density functional theory data (GGA-PBE) for Dy6Zn2Cd after structural relaxation.

abc: 8.5857 8.5857 8.5857
angles: 107.89 111.17 109.37
Fractional positions:
Dy (0.5472, 0.7288, 0.8183)
Dy (0.4528, 0.2712, 0.1817)
Dy (0.0895, 0.2712, 0.8183)
Dy (0.9105, 0.7288, 0.1817)
Dy (0.7947, 0.7564, 0.5511)
Dy (0.2053, 0.2436, 0.4489)
Dy (0.2053, 0.7564, 0.9618)
Dy (0.7947, 0.2436, 0.0382)
Dy (0.7162, 0.3976, 0.6813)
Dy (0.2838, 0.6024, 0.3187)
Dy (0.2838, 0.9651, 0.6813)
Dy (0.7162, 0.0349, 0.3187)
Zn (0.5000, 0.3749, 0.8749)
Zn (0.5000, 0.6251, 0.1251)
Zn (0.6354, 0.0000, 0.6354)
Zn (0.3646, 0.0000, 0.3646)
Cd (0.0000, 0.5000, 0.5000)
Cd (0.0000, 0.0000, 0.0000)

Values from the calculation:
For the energy relative to the lowest polymorph listed for this composition, the calculation gives 0 meV/atom. Its formation energy is -0.194 eV/atom. As for the total magnetization: 0.0 μB per formula unit. For the density of states at the Fermi level, the calculation gives 1.09 states/eV per atom. Its space group is No. 71.

14.
Density functional theory data (GGA-PBE) for AlFeTeMo2 after structural relaxation.

abc: 4.5640 4.6324 4.5640
angles: 90.00 90.00 90.00
Fractional positions:
Mo (0.0000, 0.0000, 0.5000)
Mo (0.5000, 0.0000, 0.0000)
Te (0.0000, 0.5000, 0.0000)
Fe (0.0000, 0.0000, 0.0000)
Al (0.5000, 0.5000, 0.5000)

Values from the calculation:
Its formation energy without anion corrections is 109 kJ per mole of atoms. As for the total magnetization: 0.0 μB per formula unit. For the density of states at the Fermi level, the calculation gives 1.27 states/eV per atom. Its space group is No. 123.

15.
Density functional theory data (GGA-PBE) for BeAu3 after structural relaxation.

abc: 5.2268 5.2268 5.2268
angles: 116.68 116.68 116.68
Fractional positions:
Be (0.5000, 0.0000, 0.5000)
Au (0.0000, 0.0000, 0.0000)
Au (0.5000, 0.5000, 0.0000)
Au (0.0000, 0.5000, 0.5000)

Values from the calculation:
Its formation energy is 0.175 eV/atom. As for the total magnetization: 0.0 μB per formula unit. For the density of states at the Fermi level, the calculation gives 0.26 states/eV per atom. Its space group is No. 166.

16.
Density functional theory data (GGA-PBE) for LaCeAu2 after structural relaxation.

abc: 3.9339 4.8069 6.0814
angles: 90.00 109.02 90.00
Fractional positions:
La (0.7216, 0.0000, 0.9809)
Ce (0.4466, 0.5000, 0.4334)
Au (0.1687, 0.5000, 0.8757)
Au (0.9941, 0.0000, 0.5279)

Values from the calculation:
For the energy relative to the lowest polymorph listed for this composition, the calculation gives 0 meV/atom. Its formation energy is -0.718 eV/atom. As for the total magnetization: 1.0 μB per formula unit. For the density of states at the Fermi level, the calculation gives 2.01 states/eV per atom. Its space group is No. 6.

17.
Density functional theory data (GGA-PBE) for CuAsRh after structural relaxation.

abc: 3.8019 4.5234 10.5419
angles: 90.00 90.00 90.00
Fractional positions:
Rh (0.7500, 0.0355, 0.2788)
Rh (0.7500, 0.4645, 0.7788)
Rh (0.2500, 0.5355, 0.2212)
Rh (0.2500, 0.9645, 0.7212)
As (0.7500, 0.5249, 0.3771)
As (0.7500, 0.9751, 0.8771)
As (0.2500, 0.0249, 0.1229)
As (0.2500, 0.4751, 0.6229)
Cu (0.7500, 0.3538, 0.0498)
Cu (0.7500, 0.1462, 0.5498)
Cu (0.2500, 0.6462, 0.9502)
Cu (0.2500, 0.8538, 0.4502)

Values from the calculation:
Its formation energy is -0.189 eV/atom. As for the total magnetization: 0.0 μB per formula unit. For the density of states at the Fermi level, the calculation gives 0.46 states/eV per atom. Its space group is No. 62.

18.
Density functional theory data (GGA-PBE) for Cs2SrAuI6 after structural relaxation.

abc: 8.7346 8.7346 8.7378
angles: 60.01 60.01 90.00
Fractional positions:
Cs (0.7500, 0.2500, 0.5000)
Cs (0.2500, 0.7500, 0.5000)
I (0.2385, 0.2385, 0.5230)
I (0.7615, 0.7615, 0.4770)
I (0.2384, 0.2384, 0.0000)
I (0.7616, 0.7616, 0.0000)
I (0.7616, 0.2384, 0.0000)
I (0.2384, 0.7616, 0.0000)
Au (0.0000, 0.0000, 0.0000)
Sr (0.5000, 0.5000, 0.0000)

Values from the calculation:
Its formation energy without anion corrections is -101 kJ per mole of atoms. As for the total magnetization: 0.0 μB per formula unit. For the density of states at the Fermi level, the calculation gives 1.11 states/eV per atom. Its space group is No. 225.

19.
Density functional theory data (GGA-PBE) for Zr3Ni3Sb4 after structural relaxation.

abc: 7.9200 7.9200 7.9200
angles: 109.47 109.47 109.47
Fractional positions:
Ni (0.2500, 0.3750, 0.6250)
Ni (0.7500, 0.1250, 0.8750)
Ni (0.6250, 0.8750, 0.2500)
Ni (0.8750, 0.6250, 0.7500)
Ni (0.1250, 0.7500, 0.3750)
Ni (0.3750, 0.2500, 0.1250)
Sb (0.0000, 0.0000, 0.3348)
Sb (0.8348, 0.5000, 0.0000)
Sb (0.6652, 0.1652, 0.1652)
Sb (0.5000, 0.3348, 0.5000)
Sb (0.0000, 0.0000, 0.8348)
Sb (0.3348, 0.5000, 0.0000)
Sb (0.5000, 0.8348, 0.5000)
Sb (0.1652, 0.6652, 0.6652)
Zr (0.2500, 0.8750, 0.1250)
Zr (0.7500, 0.6250, 0.3750)
Zr (0.1250, 0.3750, 0.2500)
Zr (0.3750, 0.1250, 0.7500)
Zr (0.6250, 0.7500, 0.8750)
Zr (0.8750, 0.2500, 0.6250)

Values from the calculation:
Its formation energy without anion corrections is -63 kJ per mole of atoms. As for the total magnetization: 0.0 μB per formula unit. For the density of states at the Fermi level, the calculation gives 0.03 states/eV per atom. Its space group is No. 220.

20.
Density functional theory data (GGA-PBE) for VAsRu after structural relaxation.

abc: 4.2371 3.1093 13.0260
angles: 90.00 98.90 90.00
Fractional positions:
Ru (0.8942, 0.0000, 0.3358)
Ru (0.1058, 0.0000, 0.6642)
Ru (0.8942, 0.5000, 0.8358)
Ru (0.1058, 0.5000, 0.1642)
As (0.4157, 0.0000, 0.8462)
As (0.5843, 0.0000, 0.1538)
As (0.4157, 0.5000, 0.3462)
As (0.5843, 0.5000, 0.6538)
V (0.0000, 0.0000, 0.0000)
V (0.0000, 0.5000, 0.5000)
V (0.5000, 0.0000, 0.5000)
V (0.5000, 0.5000, 0.0000)

Values from the calculation:
Its formation energy is -0.269 eV/atom. As for the total magnetization: 0.0 μB per formula unit. For the density of states at the Fermi level, the calculation gives 0.71 states/eV per atom. Its space group is No. 12.